Entry 1:
Computed, not measured: a relaxed structure of Li2PtW at the PBE level of DFT.

Relative energy among the computed polymorphs ... 672 meV/atom
M_tot ... 0.00 μB per formula unit
DFT formation energy ... 2.5 eV/f.u.
Space group ... No. 122
Raw total energy ... -5.08 eV/atom
Crystal system ... tetragonal

Cell lengths 6.8700, 6.8700, 5.4789 Å; angles 51.17, 51.17, 90.00 degrees
With the nearest neighbours (Å) after each atom.
Fractional positions:
W: 0.5000 0.5000 0.0000  2 Pt 2.53, 4 Li 2.62
W: 0.2500 0.7500 0.5000  2 Pt 2.53, 4 Li 2.62
Pt: 0.0000 0.0000 0.0000  4 Li 2.40, 2 W 2.53
Pt: 0.7500 0.2500 0.5000  4 Li 2.40, 2 W 2.53
Li: 0.6480 0.1250 0.2500  2 Pt 2.40, 2 Li 2.55, 2 W 2.62
Li: 0.1020 0.6250 0.2500  2 Pt 2.40, 2 Li 2.55, 2 W 2.62
Li: 0.3750 0.3520 0.7500  2 Pt 2.40, 2 Li 2.55, 2 W 2.62
Li: 0.8750 0.8980 0.7500  2 Pt 2.40, 2 Li 2.55, 2 W 2.62


Entry 2:
Computed, not measured: a relaxed structure of SrAg9Pd3 at the PBE level of DFT.

M_tot ... 0.00 μB per formula unit
DFT formation energy ... -1.8 eV/f.u.
Space group ... No. 12
Raw total energy ... -3.44 eV/atom
Crystal system ... monoclinic

Cell lengths 5.5581, 7.2955, 7.2529 Å; angles 81.41, 67.47, 67.05 degrees
With the nearest neighbours (Å) after each atom.
Fractional positions:
Sr: 0.0000 0.0000 0.0000  14 Ag 3.32-3.65, 6 Pd 3.62-3.63
Ag: 0.7203 0.7797 0.7778  3 Pd 2.74-2.78, 6 Ag 2.76-3.04
Ag: 0.2797 0.2203 0.2222  3 Pd 2.74-2.78, 6 Ag 2.76-3.04
Ag: 0.5019 0.2203 0.7778  3 Pd 2.74-2.78, 6 Ag 2.76-3.04
Ag: 0.4981 0.7797 0.2222  3 Pd 2.74-2.78, 6 Ag 2.76-3.04
Ag: 0.6403 0.3472 0.3527  6 Ag 2.85-3.08, 3 Pd 2.87-2.90
Ag: 0.3597 0.6528 0.6473  6 Ag 2.85-3.08, 3 Pd 2.87-2.90
Ag: 0.0070 0.6528 0.3527  6 Ag 2.85-3.08, 3 Pd 2.87-2.90
Ag: 0.9930 0.3472 0.6473  6 Ag 2.85-3.08, 3 Pd 2.87-2.90
Ag: 0.0000 0.5000 0.0000  8 Ag 2.76-2.96, 2 Pd 2.78
Pd: 0.5000 0.5000 0.0000  10 Ag 2.78-2.90
Pd: 0.0000 0.0000 0.5000  8 Ag 2.74-2.90, 2 Pd 2.78
Pd: 0.5000 0.0000 0.5000  8 Ag 2.74-2.90, 2 Pd 2.78


Entry 3:
Computed, not measured: a relaxed structure of SrYRe2 at the PBE level of DFT.

Relative energy among the computed polymorphs ... 881 meV/atom
M_tot ... 0.00 μB per formula unit
DFT formation energy ... 4.5 eV/f.u.
Space group ... No. 166
Raw total energy ... -7.14 eV/atom
Crystal system ... trigonal

Cell lengths 10.0933, 10.0933, 10.0933 Å; angles 17.85, 17.85, 17.85 degrees
With the nearest neighbours (Å) after each atom.
Fractional positions:
Re: 0.0048 0.0048 0.0048  3 Y 2.96, 6 Re 3.13, 3 Sr 3.19
Re: 0.4952 0.4952 0.4952  3 Y 2.96, 6 Re 3.13, 3 Sr 3.19
Sr: 0.2500 0.2500 0.2500  6 Sr 3.13, 6 Re 3.19
Y: 0.7500 0.7500 0.7500  6 Re 2.96, 6 Y 3.13


Entry 4:
Computed, not measured: a relaxed structure of Zn2SnBr8 at the PBE level of DFT.

Formation energy (no corrections) ... -0.57 eV per atom
M_tot ... 0.00 μB per formula unit
Space group ... No. 164
Raw total energy ... -2.38 eV/atom
Crystal system ... trigonal

Cell lengths 8.0949, 7.8233, 7.8233 Å; angles 120.00, 90.00, 90.00 degrees
With the nearest neighbours (Å) after each atom.
Fractional positions:
Zn: 0.7651 0.3333 0.6667  4 Br 2.33-2.48
Zn: 0.2349 0.6667 0.3333  4 Br 2.33-2.48
Sn: 0.5000 0.0000 0.0000  6 Br 2.71
Br: 0.9470 0.6667 0.3333  1 Zn 2.33
Br: 0.0530 0.3333 0.6667  1 Zn 2.33
Br: 0.2836 0.3055 0.1527  1 Zn 2.48, 1 Sn 2.71
Br: 0.7164 0.6945 0.8473  1 Zn 2.48, 1 Sn 2.71
Br: 0.7164 0.1527 0.8473  1 Zn 2.48, 1 Sn 2.71
Br: 0.2836 0.8473 0.1527  1 Zn 2.48, 1 Sn 2.71
Br: 0.2836 0.8473 0.6945  1 Zn 2.48, 1 Sn 2.71
Br: 0.7164 0.1527 0.3055  1 Zn 2.48, 1 Sn 2.71


Entry 5:
Computed, not measured: a relaxed structure of BaThSn6 at the PBE level of DFT.

M_tot ... 0.00 μB per formula unit
DFT formation energy ... -3.2 eV/f.u.
Space group ... No. 123
Raw total energy ... -4.57 eV/atom
Crystal system ... tetragonal

Cell lengths 4.8436, 4.8436, 9.8169 Å; angles 90.00, 90.00, 90.00 degrees
With the nearest neighbours (Å) after each atom.
Fractional positions:
Ba: 0.0000 0.0000 0.0000  12 Sn 3.42-3.52
Th: 0.0000 0.0000 0.5000  12 Sn 3.38-3.42
Sn: 0.5000 0.5000 0.0000  4 Ba 3.42, 8 Sn 3.52
Sn: 0.5000 0.5000 0.5000  8 Sn 3.38, 4 Th 3.42
Sn: 0.5000 0.0000 0.2597  2 Th 3.38, 8 Sn 3.38-3.52, 2 Ba 3.52
Sn: 0.5000 0.0000 0.7403  8 Sn 3.38-3.52, 2 Th 3.38, 2 Ba 3.52
Sn: 0.0000 0.5000 0.2597  8 Sn 3.38-3.52, 2 Th 3.38, 2 Ba 3.52
Sn: 0.0000 0.5000 0.7403  8 Sn 3.38-3.52, 2 Th 3.38, 2 Ba 3.52


Entry 6:
Computed, not measured: a relaxed structure of MgMn6Al12 at the PBE level of DFT.

M_tot ... 0.00 μB per formula unit
DFT formation energy ... -0.9 eV/f.u.
Space group ... No. 204
Raw total energy ... -5.39 eV/atom
Crystal system ... cubic

Cell lengths 7.1118, 7.1118, 7.1118 Å; angles 109.47, 109.47, 109.47 degrees
With the nearest neighbours (Å) after each atom.
Fractional positions:
Mg: 0.0000 0.0000 0.0000  12 Al 2.75
Mn: 0.3723 0.5000 0.8723  1 Mn 2.10
Mn: 0.6277 0.5000 0.1277  1 Mn 2.10
Mn: 0.5000 0.8723 0.3723  1 Mn 2.10
Mn: 0.5000 0.1277 0.6277  1 Mn 2.10
Mn: 0.8723 0.3723 0.5000  1 Mn 2.10
Mn: 0.1277 0.6277 0.5000  1 Mn 2.10
Al: 0.2749 0.0832 0.8083  3 Mn 2.37-2.64
Al: 0.2749 0.4665 0.1917  3 Mn 2.37-2.64
Al: 0.7251 0.5335 0.8083  3 Mn 2.37-2.64
Al: 0.7251 0.9168 0.1917  3 Mn 2.37-2.64
Al: 0.0832 0.8083 0.2749  3 Mn 2.37-2.64
Al: 0.4665 0.1917 0.2749  3 Mn 2.37-2.64
Al: 0.5335 0.8083 0.7251  3 Mn 2.37-2.64
Al: 0.9168 0.1917 0.7251  3 Mn 2.37-2.64
Al: 0.8083 0.2749 0.0832  3 Mn 2.37-2.64
Al: 0.1917 0.2749 0.4665  3 Mn 2.37-2.64
Al: 0.8083 0.7251 0.5335  3 Mn 2.37-2.64
Al: 0.1917 0.7251 0.9168  3 Mn 2.37-2.64


Entry 7:
Computed, not measured: a relaxed structure of Ac3Ga3Ru2 at the PBE level of DFT.

M_tot ... 0.00 μB per formula unit
DFT formation energy ... -3.4 eV/f.u.
Space group ... No. 63
Raw total energy ... -5.42 eV/atom
Crystal system ... orthorhombic

Cell lengths 4.2595, 6.1836, 16.2114 Å; angles 90.00, 90.00, 110.15 degrees
With the nearest neighbours (Å) after each atom.
Fractional positions:
Ac: 0.9387 0.8774 0.3948  3 Ru 3.26-3.35, 7 Ga 3.30-3.61
Ac: 0.0613 0.1226 0.8948  3 Ru 3.26-3.35, 7 Ga 3.30-3.61
Ac: 0.9387 0.8774 0.1052  3 Ru 3.26-3.35, 7 Ga 3.30-3.61
Ac: 0.0613 0.1226 0.6052  3 Ru 3.26-3.35, 7 Ga 3.30-3.61
Ac: 0.6592 0.3185 0.2500  5 Ga 3.17-3.50, 4 Ru 3.17
Ac: 0.3408 0.6815 0.7500  5 Ga 3.17-3.50, 4 Ru 3.17
Ga: 0.6695 0.3390 0.4657  3 Ru 2.57-2.68
Ga: 0.3305 0.6610 0.9657  3 Ru 2.57-2.68
Ga: 0.6695 0.3390 0.0343  3 Ru 2.57-2.68
Ga: 0.3305 0.6610 0.5343  3 Ru 2.57-2.68
Ga: 0.3609 0.7218 0.2500  2 Ru 2.71
Ga: 0.6391 0.2782 0.7500  2 Ru 2.71
Ru: 0.7733 0.5465 0.8865  4 Ga 2.57-2.71
Ru: 0.2267 0.4535 0.3865  4 Ga 2.57-2.71
Ru: 0.7733 0.5465 0.6135  4 Ga 2.57-2.71
Ru: 0.2267 0.4535 0.1135  4 Ga 2.57-2.71


Entry 8:
Computed, not measured: a relaxed structure of Mg5Zn2In2 at the PBE level of DFT.

M_tot ... 0.00 μB per formula unit
DFT formation energy ... -0.3 eV/f.u.
Space group ... No. 64
Raw total energy ... -1.81 eV/atom
Crystal system ... orthorhombic

Cell lengths 7.3006, 7.1489, 8.4350 Å; angles 115.07, 90.00, 90.00 degrees
With the nearest neighbours (Å) after each atom.
Fractional positions:
Mg: 0.0000 0.0000 0.0000  4 Zn 2.82-2.88
Mg: 0.5000 0.5000 0.0000  4 Zn 2.82-2.88
Mg: 0.8238 0.7924 0.2402  3 Zn 2.75-2.88, 1 In 3.00
Mg: 0.1762 0.4477 0.2402  3 Zn 2.75-2.88, 1 In 3.00
Mg: 0.3238 0.9477 0.2402  3 Zn 2.75-2.88, 1 In 3.00
Mg: 0.6762 0.2924 0.2402  3 Zn 2.75-2.88, 1 In 3.00
Mg: 0.1762 0.2076 0.7598  3 Zn 2.75-2.88, 1 In 3.00
Mg: 0.8238 0.5523 0.7598  3 Zn 2.75-2.88, 1 In 3.00
Mg: 0.6762 0.0523 0.7598  3 Zn 2.75-2.88, 1 In 3.00
Mg: 0.3238 0.7076 0.7598  3 Zn 2.75-2.88, 1 In 3.00
Zn: 0.6249 0.8736 0.0000  1 Zn 2.57, 5 Mg 2.75-2.84
Zn: 0.3751 0.1264 0.0000  1 Zn 2.57, 5 Mg 2.75-2.84
Zn: 0.1249 0.6264 0.0000  1 Zn 2.57, 5 Mg 2.75-2.84
Zn: 0.8751 0.3736 0.0000  1 Zn 2.57, 5 Mg 2.75-2.84
In: 0.0000 0.2218 0.4436  6 Mg 3.00-3.09
In: 0.5000 0.7218 0.4436  6 Mg 3.00-3.09
In: 0.0000 0.7782 0.5564  6 Mg 3.00-3.09
In: 0.5000 0.2782 0.5564  6 Mg 3.00-3.09


Entry 9:
Computed, not measured: a relaxed structure of Li5Zn6Ir at the PBE level of DFT.

M_tot ... 0.00 μB per formula unit
DFT formation energy ... -2.6 eV/f.u.
Space group ... No. 12
Raw total energy ... -2.39 eV/atom
Crystal system ... monoclinic

Cell lengths 4.0350, 7.3037, 7.2408 Å; angles 120.29, 105.92, 90.00 degrees
With the nearest neighbours (Å) after each atom.
Fractional positions:
Zn: 0.8358 0.5951 0.6706  1 Ir 2.63, 7 Li 2.67-2.77, 4 Zn 2.80-2.87
Zn: 0.8358 0.0755 0.6706  1 Ir 2.63, 7 Li 2.67-2.77, 4 Zn 2.80-2.87
Zn: 0.5000 0.7706 0.0000  6 Li 2.61-2.82, 2 Ir 2.62, 4 Zn 2.80-2.81
Zn: 0.5000 0.2294 0.0000  6 Li 2.61-2.82, 2 Ir 2.62, 4 Zn 2.80-2.81
Zn: 0.1642 0.9245 0.3294  1 Ir 2.63, 7 Li 2.67-2.77, 4 Zn 2.80-2.87
Zn: 0.1642 0.4049 0.3294  1 Ir 2.63, 7 Li 2.67-2.77, 4 Zn 2.80-2.87
Ir: 0.0000 0.0000 0.0000  8 Zn 2.62-2.63, 4 Li 2.84-2.85
Li: 0.6693 0.1692 0.3384  8 Zn 2.61-2.73, 2 Li 2.81-2.82, 2 Ir 2.84-2.85
Li: 0.3349 0.3349 0.6698  8 Zn 2.67-2.78, 4 Li 2.80-2.82
Li: 0.0000 0.5000 0.0000  8 Zn 2.72-2.82, 4 Li 2.80-2.82
Li: 0.6651 0.6651 0.3302  8 Zn 2.67-2.78, 4 Li 2.80-2.82
Li: 0.3307 0.8308 0.6616  8 Zn 2.61-2.73, 2 Li 2.81-2.82, 2 Ir 2.84-2.85


Entry 10:
Computed, not measured: a relaxed structure of Y2MgTe at the PBE level of DFT.

Relative energy among the computed polymorphs ... 31 meV/atom
Formation energy (no corrections) ... -0.59 eV per atom
M_tot ... 0.00 μB per formula unit
Space group ... No. 166
Raw total energy ... -5.01 eV/atom
Crystal system ... trigonal

Cell lengths 4.0638, 4.0638, 8.7251 Å; angles 76.53, 76.53, 60.04 degrees
With the nearest neighbours (Å) after each atom.
Fractional positions:
Mg: 0.7500 0.7500 0.7500  6 Y 3.26
Te: 0.2500 0.2500 0.2500  6 Y 3.05
Y: 0.9938 0.9938 0.0186  3 Te 3.05, 3 Mg 3.26
Y: 0.5062 0.5062 0.4814  3 Te 3.05, 3 Mg 3.26


Entry 11:
Computed, not measured: a relaxed structure of BaSmGaAg at the PBE level of DFT.

M_tot ... 0.00 μB per formula unit
DFT formation energy ... -0.9 eV/f.u.
Space group ... No. 216
Raw total energy ... -3.35 eV/atom
Crystal system ... cubic

Cell lengths 5.4938, 5.4938, 5.4938 Å; angles 60.00, 60.00, 60.00 degrees
With the nearest neighbours (Å) after each atom.
Fractional positions:
Ag: 0.2500 0.2500 0.2500  4 Sm 3.36, 4 Ba 3.36
Ga: 0.7500 0.7500 0.7500  4 Ba 3.36, 4 Sm 3.36
Ba: 0.5000 0.5000 0.5000  4 Ag 3.36, 4 Ga 3.36
Sm: 0.0000 0.0000 0.0000  4 Ga 3.36, 4 Ag 3.36


What is the formula in the first record? Li2PtW